Below is a geometry-optimized Rb2LiCl4 structure, with properties calculated at the PBE-GGA level.

Unit cell a=4.926 b=4.926 c=17.105 alpha=90.00 beta=90.00 gamma=90.00
Space group I4/mmm (No. 139)
Inequivalent atoms, fractional coordinates:
Rb 0.000 0.000 0.143 [4 per cell]
Li 0.000 0.000 0.500 [2 per cell]
Cl 0.000 0.000 0.338 [4 per cell]
Cl 0.000 0.500 0.000 [4 per cell]

## Properties
N(E_F) = 11.9 states/eV/f.u.


Below is a geometry-optimized Rb2LiRhCl6 structure, with properties calculated at the PBE-GGA level.

Unit cell a=7.415 b=7.415 c=9.094 alpha=90.00 beta=90.00 gamma=90.00
Space group I4/mmm (No. 139)
Inequivalent atoms, fractional coordinates:
Rb 0.000 0.500 0.250 [4 per cell]
Li 0.000 0.000 0.000 [2 per cell]
Rh 0.000 0.000 0.500 [2 per cell]
Cl 0.000 0.000 0.244 [4 per cell]
Cl 0.227 0.227 0.500 [8 per cell]

## Properties
N(E_F) = 0.0 states/eV/f.u.
Energy above the lowest structure with this stoichiometry = 73 meV/atom


Below is a geometry-optimized Rb2LiRhCl6 structure, with properties calculated at the PBE-GGA level.

Unit cell a=7.1149 b=7.1149 c=6.1526 alpha=90.00 beta=90.00 gamma=120.00
Space group P-3m1 (No. 164)
Inequivalent atoms, fractional coordinates:
Rb 0.3333 0.6667 0.2857 [2 per cell]
Li 0.0000 0.0000 0.0000 [1 per cell]
Rh 0.0000 0.0000 0.5000 [1 per cell]
Cl 0.1557 0.3115 0.7280 [6 per cell]

## Properties
N(E_F) = 0.0 states/eV/f.u.
Energy above the lowest structure with this stoichiometry = 0 meV/atom


Below is a geometry-optimized Rb2LiRuCl6 structure, with properties calculated at the PBE-GGA level.

Unit cell a=7.1071 b=7.1071 c=35.6896 alpha=90.00 beta=90.00 gamma=120.00
Space group R-3m (No. 166, hexagonal axes)
Inequivalent atoms, fractional coordinates:
Rb 0.0000 0.0000 0.1200 [6 per cell]
Rb 0.0000 0.0000 0.2923 [6 per cell]
Li 0.0000 0.0000 0.0000 [3 per cell]
Li 0.0000 0.0000 0.5000 [3 per cell]
Ru 0.0000 0.0000 0.4142 [6 per cell]
Cl 0.0141 0.5070 0.2911 [18 per cell]
Cl 0.0208 0.5104 0.1203 [18 per cell]

## Properties
N(E_F) = 8.3 states/eV/f.u.
Energy above the lowest structure with this stoichiometry = 20 meV/atom


Below is a geometry-optimized Rb2LiRuCl6 structure, with properties calculated at the PBE-GGA level.

Unit cell a=7.1311 b=7.1311 c=6.1159 alpha=90.00 beta=90.00 gamma=120.00
Space group P-3m1 (No. 164)
Inequivalent atoms, fractional coordinates:
Rb 0.3333 0.6667 0.2795 [2 per cell]
Li 0.0000 0.0000 0.0000 [1 per cell]
Ru 0.0000 0.0000 0.5000 [1 per cell]
Cl 0.1565 0.3131 0.7298 [6 per cell]

## Properties
N(E_F) = 8.4 states/eV/f.u.
Energy above the lowest structure with this stoichiometry = 0 meV/atom


Below is a geometry-optimized RbLi2RuCl8 structure, with properties calculated at the PBE-GGA level.

Unit cell a=6.043 b=7.151 c=8.452 alpha=104.58 beta=97.01 gamma=90.22
Space group P-1 (No. 2)
Inequivalent atoms, fractional coordinates:
Rb 0.000 0.000 0.000 [1 per cell]
Li 0.487 0.526 0.178 [2 per cell]
Ru 0.000 0.500 0.500 [1 per cell]
Cl 0.090 0.505 0.238 [2 per cell]
Cl 0.197 0.787 0.615 [2 per cell]
Cl 0.316 0.326 0.546 [2 per cell]
Cl 0.496 0.757 0.028 [2 per cell]

## Properties
N(E_F) = 2.2 states/eV/f.u.


Below is a geometry-optimized Rb2LiRuCl6 structure, with properties calculated at the PBE-GGA level.

Unit cell a=7.412 b=7.412 c=9.094 alpha=90.00 beta=90.00 gamma=90.00
Space group I4/mmm (No. 139)
Inequivalent atoms, fractional coordinates:
Rb 0.000 0.500 0.250 [4 per cell]
Li 0.000 0.000 0.000 [2 per cell]
Ru 0.000 0.000 0.500 [2 per cell]
Cl 0.000 0.000 0.244 [4 per cell]
Cl 0.229 0.229 0.500 [8 per cell]

## Properties
N(E_F) = 11.7 states/eV/f.u.
Energy above the lowest structure with this stoichiometry = 64 meV/atom


Below is a geometry-optimized RbLiS2Cl structure, with properties calculated at the PBE-GGA level.

Unit cell a=4.533 b=4.533 c=6.198 alpha=90.00 beta=90.00 gamma=90.00
Space group P4/mmm (No. 123)
Inequivalent atoms, fractional coordinates:
Rb 0.000 0.000 0.000 [1 per cell]
Li 0.500 0.500 0.500 [1 per cell]
S 0.000 0.500 0.500 [2 per cell]
Cl 0.500 0.500 0.000 [1 per cell]

## Properties
N(E_F) = 4.0 states/eV/f.u.
Energy above the lowest structure with this stoichiometry = 0 meV/atom


Below is a geometry-optimized RbLiS2Cl structure, with properties calculated at the PBE-GGA level.

Unit cell a=6.115 b=6.115 c=6.099 alpha=90.00 beta=90.00 gamma=90.00
Space group P4/mmm (No. 123)
Inequivalent atoms, fractional coordinates:
Rb 0.000 0.000 0.000 [1 per cell]
Li 0.500 0.500 0.500 [1 per cell]
S 0.000 0.500 0.000 [2 per cell]
Cl 0.000 0.000 0.500 [1 per cell]

## Properties
N(E_F) = 6.5 states/eV/f.u.
Energy above the lowest structure with this stoichiometry = 728 meV/atom


Below is a geometry-optimized RbLi2SCl structure, with properties calculated at the PBE-GGA level.

Unit cell a=7.338 b=4.282 c=8.408 alpha=90.00 beta=106.81 gamma=90.00
Space group P2_1/m (No. 11)
Inequivalent atoms, fractional coordinates:
Rb 0.062 0.250 0.293 [2 per cell]
Li 0.475 0.250 0.602 [2 per cell]
Li 0.483 0.750 0.856 [2 per cell]
S 0.316 0.750 0.575 [2 per cell]
Cl 0.326 0.750 0.075 [2 per cell]

## Properties
N(E_F) = 0.0 states/eV/f.u.


Below is a geometry-optimized Rb2LiSCl structure, with properties calculated at the PBE-GGA level.

Unit cell a=6.389 b=6.389 c=4.477 alpha=90.00 beta=90.00 gamma=90.00
Space group P4/mmm (No. 123)
Inequivalent atoms, fractional coordinates:
Rb 0.000 0.500 0.000 [2 per cell]
Li 0.000 0.000 0.500 [1 per cell]
S 0.000 0.000 0.000 [1 per cell]
Cl 0.500 0.500 0.500 [1 per cell]

## Properties
N(E_F) = 0.0 states/eV/f.u.


Below is a geometry-optimized RbLiSb2Cl8 structure, with properties calculated at the PBE-GGA level.

Unit cell a=6.621 b=6.975 c=9.239 alpha=86.62 beta=86.71 gamma=78.57
Space group P-1 (No. 2)
Inequivalent atoms, fractional coordinates:
Rb 0.000 0.000 0.000 [1 per cell]
Li 0.000 0.000 0.500 [1 per cell]
Sb 0.481 0.485 0.726 [2 per cell]
Cl 0.194 0.809 0.700 [2 per cell]
Cl 0.253 0.845 0.290 [2 per cell]
Cl 0.290 0.357 0.550 [2 per cell]
Cl 0.296 0.364 0.939 [2 per cell]

## Properties
N(E_F) = 0.0 states/eV/f.u.


Below is a geometry-optimized RbLi2SbCl6 structure, with properties calculated at the PBE-GGA level.

Unit cell a=6.6470 b=6.6470 c=23.8342 alpha=90.00 beta=90.00 gamma=120.00
Space group R-3 (No. 148, hexagonal axes)
Inequivalent atoms, fractional coordinates:
Rb 0.0000 0.0000 0.0000 [3 per cell]
Li 0.0000 0.0000 0.1722 [6 per cell]
Sb 0.0000 0.0000 0.5000 [3 per cell]
Cl 0.9999 0.3395 0.4395 [18 per cell]

## Properties
N(E_F) = 0.0 states/eV/f.u.


Below is a geometry-optimized Rb2LiSbCl6 structure, with properties calculated at the PBE-GGA level.

Unit cell a=10.526 b=10.526 c=10.526 alpha=90.00 beta=90.00 gamma=90.00
Space group Fm-3m (No. 225)
Inequivalent atoms, fractional coordinates:
Rb 0.250 0.250 0.250 [8 per cell]
Li 0.000 0.000 0.000 [4 per cell]
Sb 0.000 0.000 0.500 [4 per cell]
Cl 0.000 0.000 0.247 [24 per cell]

## Properties
N(E_F) = 0.0 states/eV/f.u.


Below is a geometry-optimized RbLiSbCl6 structure, with properties calculated at the PBE-GGA level.

Unit cell a=6.7303 b=6.7303 c=7.3633 alpha=90.00 beta=90.00 gamma=120.00
Space group P312 (No. 149)
Inequivalent atoms, fractional coordinates:
Rb 0.0000 0.0000 0.0000 [1 per cell]
Li 0.3333 0.6667 0.5000 [1 per cell]
Sb 0.6667 0.3333 0.5000 [1 per cell]
Cl 0.3774 0.0063 0.6996 [6 per cell]

## Properties
N(E_F) = 5.4 states/eV/f.u.


Below is a geometry-optimized RbLi2SbCl structure, with properties calculated at the PBE-GGA level.

Unit cell a=6.810 b=6.810 c=6.244 alpha=90.00 beta=90.00 gamma=90.00
Space group P4/mmm (No. 123)
Inequivalent atoms, fractional coordinates:
Rb 0.000 0.000 0.000 [1 per cell]
Li 0.000 0.500 0.000 [2 per cell]
Sb 0.000 0.000 0.500 [1 per cell]
Cl 0.500 0.500 0.500 [1 per cell]

## Properties
N(E_F) = 5.1 states/eV/f.u.


Below is a geometry-optimized RbLi2SbCl8 structure, with properties calculated at the PBE-GGA level.

Unit cell a=6.139 b=7.228 c=8.949 alpha=107.63 beta=96.16 gamma=90.58
Space group P-1 (No. 2)
Inequivalent atoms, fractional coordinates:
Rb 0.000 0.000 0.000 [1 per cell]
Li 0.492 0.475 0.832 [2 per cell]
Sb 0.000 0.500 0.500 [1 per cell]
Cl 0.116 0.491 0.245 [2 per cell]
Cl 0.196 0.804 0.625 [2 per cell]
Cl 0.316 0.325 0.557 [2 per cell]
Cl 0.486 0.758 0.039 [2 per cell]


Below is a geometry-optimized Rb3LiSc2Cl9 structure, with properties calculated at the PBE-GGA level.

Unit cell a=7.2546 b=7.2546 c=8.9056 alpha=90.00 beta=90.00 gamma=120.00
Space group P-3m1 (No. 164)
Inequivalent atoms, fractional coordinates:
Rb 0.0000 0.0000 0.0000 [1 per cell]
Rb 0.3333 0.6667 0.6523 [2 per cell]
Li 0.0000 0.0000 0.5000 [1 per cell]
Sc 0.3333 0.6667 0.1711 [2 per cell]
Cl 0.0000 0.5000 0.0000 [3 per cell]
Cl 0.1679 0.3357 0.3282 [6 per cell]

## Properties
N(E_F) = 5.6 states/eV/f.u.


Below is a geometry-optimized RbLi2ScCl6 structure, with properties calculated at the PBE-GGA level.

Unit cell a=6.434 b=6.436 c=8.710 alpha=89.99 beta=68.36 gamma=60.01
Space group P-1 (No. 2)
Inequivalent atoms, fractional coordinates:
Rb 0.000 0.000 0.000 [1 per cell]
Li 0.342 0.829 0.486 [2 per cell]
Sc 0.000 0.500 0.500 [1 per cell]
Cl 0.118 0.763 0.321 [2 per cell]
Cl 0.203 0.559 0.679 [2 per cell]
Cl 0.441 0.119 0.321 [2 per cell]

## Properties
N(E_F) = 0.0 states/eV/f.u.


Below is a geometry-optimized RbLiScCl5 structure, with properties calculated at the PBE-GGA level.

Unit cell a=8.825 b=11.896 c=9.710 alpha=90.00 beta=113.56 gamma=90.00
Space group C2/c (No. 15)
Inequivalent atoms, fractional coordinates:
Rb 0.000 0.162 0.250 [4 per cell]
Li 0.000 0.194 0.750 [4 per cell]
Sc 0.000 0.500 0.000 [4 per cell]
Cl 0.000 0.439 0.250 [4 per cell]
Cl 0.094 0.306 0.595 [8 per cell]
Cl 0.208 0.064 0.918 [8 per cell]

## Properties
N(E_F) = 0.0 states/eV/f.u.


Below is a geometry-optimized Rb2LiSeCl6 structure, with properties calculated at the PBE-GGA level.

Unit cell a=7.2825 b=7.2825 c=38.6046 alpha=90.00 beta=90.00 gamma=120.00
Space group R-3m (No. 166, hexagonal axes)
Inequivalent atoms, fractional coordinates:
Rb 0.0000 0.0000 0.1153 [6 per cell]
Rb 0.0000 0.0000 0.3060 [6 per cell]
Li 0.0000 0.0000 0.4111 [6 per cell]
Se 0.0000 0.0000 0.0000 [3 per cell]
Se 0.0000 0.0000 0.5000 [3 per cell]
Cl 0.0000 0.5000 0.2872 [18 per cell]
Cl 0.0219 0.5109 0.1297 [18 per cell]

## Properties
N(E_F) = 2.2 states/eV/f.u.
Energy above the lowest structure with this stoichiometry = 0 meV/atom


Below is a geometry-optimized RbLiSeCl6 structure, with properties calculated at the PBE-GGA level.

Unit cell a=6.5741 b=6.5741 c=7.3591 alpha=90.00 beta=90.00 gamma=120.00
Space group P312 (No. 149)
Inequivalent atoms, fractional coordinates:
Rb 0.0000 0.0000 0.0000 [1 per cell]
Li 0.3333 0.6667 0.5000 [1 per cell]
Se 0.6667 0.3333 0.5000 [1 per cell]
Cl 0.3807 0.0172 0.6913 [6 per cell]

## Properties
N(E_F) = 0.0 states/eV/f.u.


Table of uncorrected formation energy (eV per atom), in record order: -1.512; -1.364; -1.437; -1.361; -1.381; -1.112; -1.317; -0.484; 0.244; -1.473; -1.319; -1.188; -1.477; -1.513; -1.257; 0.592; -1.252; -1.989; -1.992; -2.017; -1.179; -1.031